## a
BaMo2: PBEsol geometry, SCAN.

The calculation puts the calculated volume at 21.223 A^3/atom.

It has space group Fd-3m (No. 227, origin choice 2), with a = 7.986 Å, b = 7.986 Å, c = 7.986 Å, α = 90.00°, β = 90.00° and γ = 90.00°. The inequivalent atoms are Ba at (0.125, 0.125, 0.125) and Mo at (0.000, 0.000, 0.500).

## b
BaMo2: PBEsol geometry, SCAN.

The calculation puts the calculated volume at 25.937 A^3/atom.

It has space group Cmcm (No. 63), with a = 3.172 Å, b = 23.303 Å, c = 4.211 Å, α = 90.00°, β = 90.00° and γ = 90.00°. The inequivalent atoms are Ba at (0.000, 0.172, 0.250), Mo at (0.000, 0.047, 0.750) and Mo at (0.000, 0.452, 0.750).

Order from most stable to least stable according to the calculation: b, a

## a
Ba2NiMo: PBEsol geometry, SCAN.

The calculation puts the calculated volume at 28.538 A^3/atom.

It has space group Imm2 (No. 44), with a = 3.679 Å, b = 5.197 Å, c = 11.942 Å, α = 90.00°, β = 90.00° and γ = 90.00°. The inequivalent atoms are Ba at (0.000, 0.000, 0.000), Ba at (0.000, 0.500, 0.215), Ni at (0.000, 0.000, 0.415) and Mo at (0.000, 0.500, 0.803).

## b
Ba2NiMo: PBEsol geometry, SCAN.

The calculation puts the calculated volume at 27.233 A^3/atom.

It has space group P4/mmm (No. 123), with a = 5.441 Å, b = 5.441 Å, c = 3.679 Å, α = 90.00°, β = 90.00° and γ = 90.00°. The inequivalent atoms are Ba at (0.000, 0.500, 0.000), Ni at (0.000, 0.000, 0.500) and Mo at (0.500, 0.500, 0.500).

Order from most stable to least stable according to the calculation: a, b

## a
BaMo2Os: PBEsol geometry, SCAN.

The calculation puts the calculated volume at 17.734 A^3/atom.

It has space group P4/mmm (No. 123), with a = 4.797 Å, b = 4.797 Å, c = 3.082 Å, α = 90.00°, β = 90.00° and γ = 90.00°. The inequivalent atoms are Ba at (0.000, 0.000, 0.000), Mo at (0.000, 0.500, 0.500) and Os at (0.500, 0.500, 0.000).

## b
BaMo2Os: PBEsol geometry, SCAN.

The calculation puts the calculated volume at 19.416 A^3/atom.

It has space group Cmmm (No. 65), with a = 4.041 Å, b = 4.135 Å, c = 9.297 Å, α = 90.00°, β = 90.00° and γ = 90.00°. The inequivalent atoms are Ba at (0.000, 0.000, 0.000), Mo at (0.000, 0.500, 0.311) and Os at (0.000, 0.000, 0.500).

Order from most stable to least stable according to the calculation: b, a

## a
BaMoOs2: PBEsol geometry, SCAN.

The calculation puts the calculated volume at 19.219 A^3/atom.

It has space group P4/mmm (No. 123), with a = 3.101 Å, b = 3.101 Å, c = 7.997 Å, α = 90.00°, β = 90.00° and γ = 90.00°. The inequivalent atoms are Ba at (0.000, 0.000, 0.000), Mo at (0.000, 0.000, 0.500) and Os at (0.500, 0.500, 0.319).

## b
BaMoOs2: PBEsol geometry, SCAN.

The calculation puts the calculated volume at 20.246 A^3/atom.

It has space group Pmm2 (No. 25), with a = 2.851 Å, b = 3.675 Å, c = 7.728 Å, α = 90.00°, β = 90.00° and γ = 90.00°. The inequivalent atoms are Ba at (0.000, 0.000, 0.000), Mo at (0.500, 0.500, 0.346), Os at (0.000, 0.000, 0.523) and Os at (0.500, 0.500, 0.676).

Order from most stable to least stable according to the calculation: a, b